NaCrRe2 (PBE-GGA, relaxed); energy of formation from the pure elements = 1.260 eV per atom; uncorrected energy = -7.700 eV per atom; D(E_F) = 0.65 states/eV per atom; SG = I-42d; spin magnetization = 7.06 Bohr magnetons per cell
1.0
-2.907 -2.383 -0.501
2.355 -2.553 -1.522
1.342 -6.332 7.976
Na Cr Re
2 2 4
Direct
0.500 0.500 0.000 Na
0.250 0.750 0.500 Na
0.750 0.250 0.500 Cr
0.000 0.000 0.000 Cr
0.676 0.125 0.250 Re
0.875 0.926 0.750 Re
0.074 0.625 0.250 Re
0.375 0.324 0.750 Re